NaCoSn2Bi: optimized geometry, GGA-PBE.

Structure (POSCAR):
```
NaCoSn2Bi
1.0
5.409 0.000 0.000
0.000 5.409 0.000
0.000 0.000 4.742
Na Co Sn Bi
1 1 2 1
Direct
0.000 0.000 0.000
0.000 0.000 0.500
0.000 0.500 0.000
0.500 0.000 0.000
0.500 0.500 0.500
```

Values from the calculation:
Its size of the total moment is 1.5 Bohr magnetons per cell. As for the energy of formation from the pure elements: 1.0044 eV per atom. For the theoretical density, the calculation gives 6322 kg/m3. Its total energy is -3.058 eV/atom. The space-group type is P4/mmm.